This record from the Alexandria database describes a geometry-optimized MnBiO2 structure. The functional is GGA+U.

Calculated values
density of states at the Fermi level	6.4	states/eV per cell
final energy	-77.5	eV for the cell shown

```
data_MnBiO2
_chemical_formula_sum 'Mn3 Bi3 O6'
_symmetry_space_group_name_H-M 'R -3 m'
_symmetry_Int_Tables_number 166
_symmetry_space_group_name_Hall '-R 3 2"'
_cell_length_a 3.2890
_cell_length_b 3.2890
_cell_length_c 20.0418
_cell_angle_alpha 90.00
_cell_angle_beta 90.00
_cell_angle_gamma 120.00
loop_
_atom_site_label
_atom_site_type_symbol
_atom_site_fract_x
_atom_site_fract_y
_atom_site_fract_z
_atom_site_occupancy
Mn1 Mn 0.0000 0.0000 0.0000 1
Bi1 Bi 0.0000 0.0000 0.5000 1
O1 O 0.0000 0.0000 0.3849 1
```